Computed, not measured: Mg2ReCl after structural relaxation at the PBE-GGA level of DFT.

```
data_Mg2ReCl
_symmetry_space_group_name_H-M 'P 1 2/m 1'
_symmetry_Int_Tables_number 10
_symmetry_space_group_name_Hall '-P 2y'
_cell_length_a 3.141
_cell_length_b 2.903
_cell_length_c 8.042
_cell_angle_alpha 90.00
_cell_angle_beta 90.11
_cell_angle_gamma 90.00
loop_
_atom_site_label
_atom_site_type_symbol
_atom_site_fract_x
_atom_site_fract_y
_atom_site_fract_z
Mg1 Mg 0.002 0.000 0.234
Re1 Re 0.500 0.500 0.000
Cl1 Cl 0.000 0.500 0.500
```

uncorrected energy: -4.54 eV per atom
formation energy from raw total energies: -64 kJ/mol of formula units
spin magnetization: 0.000 μB/cell
ρ: 6.12 Mg/m³
ΔE to the lowest computed polymorph: 0 meV/atom

Computed, not measured: MgReCl2 after structural relaxation at the PBE-GGA level of DFT.

```
data_MgReCl2
_symmetry_space_group_name_H-M 'R -3 m'
_symmetry_Int_Tables_number 166
_symmetry_space_group_name_Hall '-R 3 2"'
_cell_length_a 3.0974
_cell_length_b 3.0974
_cell_length_c 24.9523
_cell_angle_alpha 90.00
_cell_angle_beta 90.00
_cell_angle_gamma 120.00
loop_
_atom_site_label
_atom_site_type_symbol
_atom_site_fract_x
_atom_site_fract_y
_atom_site_fract_z
Mg1 Mg 0.0000 0.0000 0.0000
Re1 Re 0.0000 0.0000 0.5000
Cl1 Cl 0.0000 0.0000 0.4037
```

uncorrected energy: -4.35 eV per atom
formation energy from raw total energies: 31 kJ/mol of formula units
spin magnetization: 0.000 μB/cell
ρ: 6.76 Mg/m³
ΔE to the lowest computed polymorph: 230 meV/atom

Computed, not measured: MgReCl2 after structural relaxation at the PBE-GGA level of DFT.

```
data_MgReCl2
_symmetry_space_group_name_H-M 'R -3 m'
_symmetry_Int_Tables_number 166
_symmetry_space_group_name_Hall '-R 3 2"'
_cell_length_a 3.1754
_cell_length_b 3.1754
_cell_length_c 30.1875
_cell_angle_alpha 90.00
_cell_angle_beta 90.00
_cell_angle_gamma 120.00
loop_
_atom_site_label
_atom_site_type_symbol
_atom_site_fract_x
_atom_site_fract_y
_atom_site_fract_z
Mg1 Mg 0.0000 0.0000 0.0000
Re1 Re 0.0000 0.0000 0.5000
Cl1 Cl 0.0000 0.0000 0.2220
```

uncorrected energy: -4.09 eV per atom
formation energy from raw total energies: 131 kJ/mol of formula units
spin magnetization: 0.000 μB/cell
ρ: 5.32 Mg/m³
ΔE to the lowest computed polymorph: 491 meV/atom

Computed, not measured: MgRe2Cl after structural relaxation at the PBE-GGA level of DFT.

```
data_MgRe2Cl
_symmetry_space_group_name_H-M 'I 4/m m m'
_symmetry_Int_Tables_number 139
_symmetry_space_group_name_Hall '-I 4 2'
_cell_length_a 3.540
_cell_length_b 3.540
_cell_length_c 12.587
_cell_angle_alpha 90.00
_cell_angle_beta 90.00
_cell_angle_gamma 90.00
loop_
_atom_site_label
_atom_site_type_symbol
_atom_site_fract_x
_atom_site_fract_y
_atom_site_fract_z
Mg1 Mg 0.000 0.000 0.000
Re1 Re 0.000 0.500 0.250
Cl1 Cl 0.000 0.000 0.500
```

uncorrected energy: -6.41 eV per atom
formation energy from raw total energies: 260 kJ/mol of formula units
spin magnetization: 0.000 μB/cell
ρ: 9.10 Mg/m³
ΔE to the lowest computed polymorph: 618 meV/atom

Computed, not measured: MgRe2Cl after structural relaxation at the PBE-GGA level of DFT.

```
data_MgRe2Cl
_symmetry_space_group_name_H-M 'C 1 2/m 1'
_symmetry_Int_Tables_number 12
_symmetry_space_group_name_Hall '-C 2y'
_cell_length_a 11.950
_cell_length_b 2.958
_cell_length_c 3.950
_cell_angle_alpha 90.00
_cell_angle_beta 93.72
_cell_angle_gamma 90.00
loop_
_atom_site_label
_atom_site_type_symbol
_atom_site_fract_x
_atom_site_fract_y
_atom_site_fract_z
Mg1 Mg 0.000 0.000 0.000
Re1 Re 0.211 0.500 0.223
Cl1 Cl 0.000 0.500 0.500
```

uncorrected energy: -6.69 eV per atom
formation energy from raw total energies: 152 kJ/mol of formula units
spin magnetization: 0.000 μB/cell
ρ: 10.30 Mg/m³
ΔE to the lowest computed polymorph: 338 meV/atom

Computed, not measured: MgReCl2 after structural relaxation at the PBE-GGA level of DFT.

```
data_MgReCl2
_symmetry_space_group_name_H-M 'C m m m'
_symmetry_Int_Tables_number 65
_symmetry_space_group_name_Hall '-C 2 2'
_cell_length_a 2.965
_cell_length_b 5.597
_cell_length_c 9.639
_cell_angle_alpha 90.00
_cell_angle_beta 90.00
_cell_angle_gamma 90.00
loop_
_atom_site_label
_atom_site_type_symbol
_atom_site_fract_x
_atom_site_fract_y
_atom_site_fract_z
Mg1 Mg 0.000 0.000 0.000
Re1 Re 0.000 0.000 0.500
Cl1 Cl 0.000 0.500 0.301
```

uncorrected energy: -4.22 eV per atom
formation energy from raw total energies: 81 kJ/mol of formula units
spin magnetization: 0.000 μB/cell
ρ: 5.84 Mg/m³
ΔE to the lowest computed polymorph: 360 meV/atom

Computed, not measured: Mg2ReCl after structural relaxation at the PBE-GGA level of DFT.

```
data_Mg2ReCl
_symmetry_space_group_name_H-M 'P 4/m m m'
_symmetry_Int_Tables_number 123
_symmetry_space_group_name_Hall '-P 4 2'
_cell_length_a 2.987
_cell_length_b 2.987
_cell_length_c 7.986
_cell_angle_alpha 90.00
_cell_angle_beta 90.00
_cell_angle_gamma 90.00
loop_
_atom_site_label
_atom_site_type_symbol
_atom_site_fract_x
_atom_site_fract_y
_atom_site_fract_z
Mg1 Mg 0.000 0.000 0.239
Re1 Re 0.500 0.500 0.000
Cl1 Cl 0.500 0.500 0.500
```

uncorrected energy: -4.45 eV per atom
formation energy from raw total energies: -32 kJ/mol of formula units
spin magnetization: 0.691 μB/cell
ρ: 6.30 Mg/m³
ΔE to the lowest computed polymorph: 84 meV/atom

Computed, not measured: Mg2ReCl after structural relaxation at the PBE-GGA level of DFT.

```
data_Mg2ReCl
_symmetry_space_group_name_H-M 'P m m 2'
_symmetry_Int_Tables_number 25
_symmetry_space_group_name_Hall 'P 2 -2'
_cell_length_a 2.819
_cell_length_b 4.846
_cell_length_c 5.605
_cell_angle_alpha 90.00
_cell_angle_beta 90.00
_cell_angle_gamma 90.00
loop_
_atom_site_label
_atom_site_type_symbol
_atom_site_fract_x
_atom_site_fract_y
_atom_site_fract_z
Mg1 Mg 0.000 0.000 0.000
Mg2 Mg 0.500 0.500 0.382
Re1 Re 0.000 0.000 0.493
Cl1 Cl 0.500 0.500 0.927
```

uncorrected energy: -4.06 eV per atom
formation energy from raw total energies: 118 kJ/mol of formula units
spin magnetization: 0.801 μB/cell
ρ: 5.86 Mg/m³
ΔE to the lowest computed polymorph: 472 meV/atom

Computed, not measured: MgReCl2 after structural relaxation at the PBE-GGA level of DFT.

```
data_MgReCl2
_symmetry_space_group_name_H-M 'I -4 2 d'
_symmetry_Int_Tables_number 122
_symmetry_space_group_name_Hall 'I -4 2bw'
_cell_length_a 4.380
_cell_length_b 4.380
_cell_length_c 15.785
_cell_angle_alpha 90.00
_cell_angle_beta 90.00
_cell_angle_gamma 90.00
loop_
_atom_site_label
_atom_site_type_symbol
_atom_site_fract_x
_atom_site_fract_y
_atom_site_fract_z
Mg1 Mg 0.000 0.000 0.000
Re1 Re 0.000 0.000 0.500
Cl1 Cl 0.221 0.250 0.625
```

uncorrected energy: -4.03 eV per atom
formation energy from raw total energies: 156 kJ/mol of formula units
spin magnetization: 4.000 μB/cell
ρ: 6.17 Mg/m³
ΔE to the lowest computed polymorph: 555 meV/atom

Computed, not measured: MgReCl2 after structural relaxation at the PBE-GGA level of DFT.

```
data_MgReCl2
_symmetry_space_group_name_H-M 'P 4/m m m'
_symmetry_Int_Tables_number 123
_symmetry_space_group_name_Hall '-P 4 2'
_cell_length_a 4.592
_cell_length_b 4.592
_cell_length_c 3.069
_cell_angle_alpha 90.00
_cell_angle_beta 90.00
_cell_angle_gamma 90.00
loop_
_atom_site_label
_atom_site_type_symbol
_atom_site_fract_x
_atom_site_fract_y
_atom_site_fract_z
Mg1 Mg 0.000 0.000 0.000
Re1 Re 0.500 0.500 0.000
Cl1 Cl 0.000 0.500 0.500
```

uncorrected energy: -3.76 eV per atom
formation energy from raw total energies: 259 kJ/mol of formula units
spin magnetization: 0.508 μB/cell
ρ: 7.22 Mg/m³
ΔE to the lowest computed polymorph: 821 meV/atom

Computed, not measured: MgRe2Cl after structural relaxation at the PBE-GGA level of DFT.

```
data_MgRe2Cl
_symmetry_space_group_name_H-M 'C 1 m 1'
_symmetry_Int_Tables_number 8
_symmetry_space_group_name_Hall 'C -2y'
_cell_length_a 6.066
_cell_length_b 3.352
_cell_length_c 8.464
_cell_angle_alpha 90.00
_cell_angle_beta 109.48
_cell_angle_gamma 90.00
loop_
_atom_site_label
_atom_site_type_symbol
_atom_site_fract_x
_atom_site_fract_y
_atom_site_fract_z
Mg1 Mg 0.000 0.000 0.000
Re1 Re 0.199 0.000 0.707
Re2 Re 0.447 0.000 0.539
Cl1 Cl 0.274 0.500 0.215
```

uncorrected energy: -6.86 eV per atom
formation energy from raw total energies: 86 kJ/mol of formula units
spin magnetization: 0.000 μB/cell
ρ: 8.85 Mg/m³
ΔE to the lowest computed polymorph: 168 meV/atom

Computed, not measured: MgReCl2 after structural relaxation at the PBE-GGA level of DFT.

```
data_MgReCl2
_symmetry_space_group_name_H-M 'C 1 2/m 1'
_symmetry_Int_Tables_number 12
_symmetry_space_group_name_Hall '-C 2y'
_cell_length_a 6.030
_cell_length_b 8.509
_cell_length_c 3.198
_cell_angle_alpha 90.00
_cell_angle_beta 117.38
_cell_angle_gamma 90.00
loop_
_atom_site_label
_atom_site_type_symbol
_atom_site_fract_x
_atom_site_fract_y
_atom_site_fract_z
Mg1 Mg 0.000 0.000 0.000
Re1 Re 0.000 0.500 0.000
Cl1 Cl 0.250 0.250 0.000
```

uncorrected energy: -4.06 eV per atom
formation energy from raw total energies: 143 kJ/mol of formula units
spin magnetization: 3.991 μB/cell
ρ: 6.42 Mg/m³
ΔE to the lowest computed polymorph: 520 meV/atom